A plane-wave DFT calculation with GGA-PBE was carried out for an optimized crystal structure of RbCaAs3.

As for the total DFT energy (no corrections): -3.196 eV/atom. The density of states at the Fermi level is 2.31 states/eV/f.u.

The structure belongs to space group Pm-3m (No. 221); the cell edges are 5.520, 5.520 and 5.520 Å and the angles 90.00°, 90.00° and 90.00°. The asymmetric unit holds Rb at (0.000, 0.000, 0.000), Ca at (0.500, 0.500, 0.500) and As at (0.000, 0.500, 0.500).